Below is an optimized crystal structure of ZrTiTlAg, with properties calculated at the PBE level.

Lattice parameters (Å, degrees): 6.8706 6.8706 6.8706 90.00 90.00 90.00
Space group F-43m (No. 216)
Unique sites:
Zr: 0.0000 0.0000 0.0000
Ti: 0.0000 0.0000 0.5000
Tl: 0.2500 0.2500 0.7500
Ag: 0.2500 0.2500 0.2500

Output
Formation energy in eV/atom: 0.07
Density of states at the Fermi level in states/eV per cell: 8.621


Below is an optimized crystal structure of CaSmPb, with properties calculated at the PBE level.

Lattice parameters (Å, degrees): 3.4364 3.4364 18.6742 90.00 90.00 90.00
Space group I4mm (No. 107)
Unique sites:
Ca: 0.0000 0.0000 0.0000
Sm: 0.0000 0.0000 0.3449
Pb: 0.0000 0.0000 0.1741

Output
Formation energy in eV/atom: 0.18
Density of states at the Fermi level in states/eV per cell: 5.795


Below is an optimized crystal structure of TbDy2Sn, with properties calculated at the PBE level.

Lattice parameters (Å, degrees): 4.8091 4.8091 4.8062 90.00 90.00 90.00
Space group P4/mmm (No. 123)
Unique sites:
Tb: 0.0000 0.0000 0.0000
Dy: 0.0000 0.5000 0.5000
Sn: 0.5000 0.5000 0.0000

Output
Formation energy in eV/atom: -0.42
Density of states at the Fermi level in states/eV per cell: 4.094
Relative energy among the computed polymorphs in meV/atom: 0.0


Below is an optimized crystal structure of SrV2Ir2, with properties calculated at the PBE level.

Lattice parameters (Å, degrees): 7.8001 7.8001 2.7869 90.00 90.00 90.00
Space group P4/mbm (No. 127)
Unique sites:
Sr: 0.0000 0.0000 0.0000
V: 0.1415 0.3585 0.0000
Ir: 0.1450 0.6450 0.5000

Output
Formation energy in eV/atom: -0.11
Density of states at the Fermi level in states/eV per cell: 10.831
Relative energy among the computed polymorphs in meV/atom: 222.3


Below is an optimized crystal structure of NaSrIn2I5, with properties calculated at the PBE level.

Lattice parameters (Å, degrees): 4.8158 20.4057 16.3826 90.00 90.00 90.00
Space group Cmc2_1 (No. 36)
Unique sites:
Na: 0.0000 0.0460 0.0000
Sr: 0.0000 0.2704 0.5757
In: 0.0000 0.3789 0.8188
In: 0.0000 0.4126 0.2056
I: 0.0000 0.0054 0.3227
I: 0.0000 0.1113 0.5583
I: 0.0000 0.2002 0.9445
I: 0.0000 0.2385 0.2167
I: 0.0000 0.4299 0.6171

Output
Density of states at the Fermi level in states/eV per cell: 0.000
ΔE_f (raw) in meV/atom: -1029


Below is an optimized crystal structure of La8Sm4Ho, with properties calculated at the PBE level.

Lattice parameters (Å, degrees): 11.8862 11.8862 11.9953 90.00 90.00 120.00
Space group R-3m (No. 166, hexagonal axes)
Unique sites:
La: 0.0000 0.0000 0.2375
La: 0.0001 0.5000 0.3279
Sm: 0.0000 0.0000 0.0000
Sm: 0.0000 0.5000 0.0000
Ho: 0.0000 0.0000 0.5000

Output
Formation energy in eV/atom: 0.37
Density of states at the Fermi level in states/eV per cell: 84.291


Below is an optimized crystal structure of TaGeH2Pd, with properties calculated at the PBE level.

Lattice parameters (Å, degrees): 3.6309 3.6309 5.2956 90.00 90.00 90.00
Space group P4/mmm (No. 123)
Unique sites:
Ta: 0.0000 0.0000 0.0000
Ge: 0.5000 0.5000 0.5000
H: 0.0000 0.5000 0.0000
Pd: 0.0000 0.0000 0.5000

Output
Density of states at the Fermi level in states/eV per cell: 3.184


Below is an optimized crystal structure of BaPt2Au, with properties calculated at the PBE level.

Lattice parameters (Å, degrees): 4.3822 4.3822 9.1581 90.00 90.00 90.00
Space group I-4m2 (No. 119)
Unique sites:
Ba: 0.0000 0.0000 0.0000
Pt: 0.0000 0.0000 0.5000
Pt: 0.0000 0.5000 0.7500
Au: 0.0000 0.5000 0.2500

Output
Formation energy in eV/atom: -0.06
Density of states at the Fermi level in states/eV per cell: 6.517
Relative energy among the computed polymorphs in meV/atom: 484.5


no.,total DFT energy (no corrections) (eV per atom),calculated volume (A^3/atom),M_tot (Bohr magnetons per cell)
1,-5.35,20.3,0.00
2,-3.29,36.8,0.00
3,-4.88,27.8,0.00
4,-7.64,17.0,0.00
5,-2.83,44.7,0.00
6,-4.47,37.6,0.00
7,-5.32,14.0,0.00
8,-4.38,22.0,0.00